No. 1
First-principles (SCAN) data for a crystal of LaZrSb2F relaxed with PBEsol, as listed in the Alexandria database.

As for the density of states at the Fermi level: 2.60 states/eV/f.u. Its uncorrected energy is -31.49 eV per atom. Its raw formation energy is -1.1198 eV per atom. As for the calculated volume: 23.97 Å³ per atom.

It has space group P4/mmm (No. 123), with a = 5.447 Å, b = 5.447 Å, c = 4.040 Å, α = 90.00°, β = 90.00° and γ = 90.00°. Symmetry generates all atoms from La at (0.000, 0.000, 0.000), Zr at (0.500, 0.500, 0.000), Sb at (0.000, 0.500, 0.500) and F at (0.500, 0.500, 0.500).

***

No. 2
First-principles (SCAN) data for a crystal of LaScF2 relaxed with PBEsol, as listed in the Alexandria database.

As for the density of states at the Fermi level: 1.18 states/eV/f.u. Its uncorrected energy is -18.53 eV per atom. Its raw formation energy is -2.4282 eV per atom. As for the calculated volume: 19.06 Å³ per atom.

It has space group I-42d (No. 122), with a = 4.905 Å, b = 4.905 Å, c = 12.675 Å, α = 90.00°, β = 90.00° and γ = 90.00°. Symmetry generates all atoms from La at (0.000, 0.000, 0.000), Sc at (0.000, 0.000, 0.500) and F at (0.115, 0.250, 0.625).

***

No. 3
First-principles (SCAN) data for a crystal of LaSeF relaxed with PBEsol, as listed in the Alexandria database.

As for the density of states at the Fermi level: 0.00 states/eV/f.u. Its uncorrected energy is -25.56 eV per atom. Its raw formation energy is -3.3204 eV per atom. As for the calculated volume: 20.43 Å³ per atom.

It has space group P6_3/mmc (No. 194), with a = 4.1752 Å, b = 4.1752 Å, c = 8.1189 Å, α = 90.00°, β = 90.00° and γ = 120.00°. Symmetry generates all atoms from La at (0.3333, 0.6667, 0.2500), Se at (0.0000, 0.0000, 0.0000) and F at (0.3333, 0.6667, 0.7500).

***

No. 4
First-principles (SCAN) data for a crystal of SrLa2SiF relaxed with PBEsol, as listed in the Alexandria database.

As for the density of states at the Fermi level: 4.38 states/eV/f.u. Its uncorrected energy is -24.60 eV per atom. Its raw formation energy is -0.1877 eV per atom. As for the calculated volume: 30.77 Å³ per atom.

It has space group P4/mmm (No. 123), with a = 5.990 Å, b = 5.990 Å, c = 4.288 Å, α = 90.00°, β = 90.00° and γ = 90.00°. Symmetry generates all atoms from Sr at (0.000, 0.000, 0.000), La at (0.000, 0.500, 0.000), Si at (0.500, 0.500, 0.500) and F at (0.000, 0.000, 0.500).

***

Q: Which value of calculated volume does entry 3 give?
A: 20.43 Å³ per atom

***

Q: Which value of raw formation energy does entry 3 give?
A: -3.3204 eV per atom

***

Q: The lowest uncorrected energy belongs to which entry?
A: LaZrSb2F